1.
Material: Nd3SnIrCl
Method: DFT, PBE
State: relaxed

a = 4.6183 Å, b = 7.7042 Å, c = 9.8430 Å
α = 109.06°, β = 90.00°, γ = 90.00°
Closest atoms and distances in Å follow each position.
Fractional coordinates of all 12 atoms:
Nd: 0.7500 0.4668 0.1407  3 Ir 2.75-3.01
Nd: 0.2500 0.5332 0.8593  3 Ir 2.75-3.01
Nd: 0.2500 0.7135 0.4758  3 Cl 2.85-3.01
Nd: 0.7500 0.2865 0.5242  3 Cl 2.85-3.01
Nd: 0.2500 0.0696 0.8847  2 Ir 2.90, 1 Cl 2.93
Nd: 0.7500 0.9304 0.1153  2 Ir 2.90, 1 Cl 2.93
Sn: 0.2500 0.2629 0.2721  8 Nd 3.29-3.61
Sn: 0.7500 0.7371 0.7279  8 Nd 3.29-3.61
Cl: 0.7500 0.8741 0.3955  4 Nd 2.85-3.01
Cl: 0.2500 0.1259 0.6045  4 Nd 2.85-3.01
Ir: 0.7500 0.2791 0.8499  5 Nd 2.75-3.01
Ir: 0.2500 0.7209 0.1501  5 Nd 2.75-3.01

Values from the calculation:
Crystal system ... monoclinic
Energy relative to the elements, uncorrected ... -83.91 kJ/mol of atoms

---

2.
Material: Nd4TeIrCl2
Method: DFT, PBE
State: relaxed

a = 4.1682 Å, b = 7.4195 Å, c = 7.9758 Å
α = 70.14°, β = 90.00°, γ = 90.00°
Closest atoms and distances in Å follow each position.
Fractional coordinates of all 8 atoms:
Nd: 0.5000 0.7154 0.2879  2 Ir 2.81, 1 Cl 3.12
Nd: 0.0000 0.7448 0.7110  1 Ir 2.86, 2 Cl 2.93, 2 Te 3.18
Nd: 0.0000 0.2552 0.2890  1 Ir 2.86, 2 Cl 2.93, 2 Te 3.18
Nd: 0.5000 0.2846 0.7121  2 Ir 2.81, 1 Cl 3.12
Cl: 0.5000 0.0000 0.5000  6 Nd 2.93-3.12
Cl: 0.0000 0.0000 0.0000  6 Nd 3.28-3.44
Te: 0.5000 0.5000 0.0000  6 Nd 3.18-3.21
Ir: 0.0000 0.5000 0.5000  6 Nd 2.81-2.86

Values from the calculation:
Crystal system ... monoclinic
Energy relative to the elements, uncorrected ... -122.58 kJ/mol of atoms

---

| no. | size of the total moment (μB per formula unit) |
| --- | --- |
| 1 | 0.00 |
| 2 | 0.00 |